[1]
Here is an optimized crystal structure of La6Pr4Tm from the Alexandria database. Energies are from PBE.

The structure in extended XYZ format:
```
22
Lattice="6.066 0.000 0.000 -3.033 4.964 0.000 0.000 0.000 26.358" Properties=species:S:1:pos:R:3 pbc="T T T"
Pr 3.033 0.560 16.464
Pr 3.033 3.502 25.175
Pr 0.000 4.404 3.285
Pr 3.033 3.502 14.363
Pr 3.033 0.560 23.074
Pr 0.000 1.462 11.996
Pr 0.000 4.404 9.894
Pr 0.000 1.462 1.183
La 3.033 2.905 2.763
La 0.000 2.059 15.942
La 3.033 3.831 21.492
La 0.000 1.133 8.312
La 3.033 0.611 19.769
La 3.033 0.000 0.000
La 3.033 0.000 13.179
La 3.033 2.905 10.416
La 0.000 2.059 23.596
La 3.033 3.831 18.046
La 0.000 1.133 4.867
La 0.000 4.354 6.590
Tm 3.033 2.779 6.590
Tm 0.000 2.185 19.769
```

Results
- ΔE_f (eV per formula unit) = 1.0
- energy above the most stable polymorph in this dataset (meV per atom) = 0

[2]
Here is an optimized crystal structure of Ca4CdSn8 from the Alexandria database. Energies are from PBE.

The structure in extended XYZ format:
```
13
Lattice="4.492 0.000 0.000 0.000 4.681 0.000 0.000 0.000 17.578" Properties=species:S:1:pos:R:3 pbc="T T T"
Ca 0.000 2.341 10.746
Ca 0.000 0.000 1.315
Ca 2.246 0.000 15.744
Ca 2.246 2.341 7.152
Sn 0.000 0.000 8.539
Sn 0.000 2.341 3.831
Sn 0.000 2.341 16.169
Sn 2.246 0.000 3.843
Sn 2.246 0.000 10.560
Sn 0.000 0.000 13.266
Sn 2.246 2.341 0.612
Sn 2.246 2.341 13.251
Cd 0.000 0.000 5.767
```

Results
- ΔE_f (eV per formula unit) = -4.9

[3]
Here is an optimized crystal structure of Ho3Si3Ir2 from the Alexandria database. Energies are from PBE.

The structure in extended XYZ format:
```
32
Lattice="5.646 0.000 0.000 0.000 7.958 0.000 0.000 0.000 13.878" Properties=species:S:1:pos:R:3 pbc="T T T"
Si 2.093 5.555 7.500
Si 5.091 6.707 10.408
Si 0.730 1.576 13.316
Si 2.268 5.230 3.469
Si 2.093 5.555 13.316
Si 4.916 6.381 0.562
Si 3.553 2.403 6.377
Si 3.553 2.403 0.562
Si 0.555 1.251 3.469
Si 0.730 1.576 7.500
Si 4.916 6.381 6.377
Si 3.378 2.728 10.408
Ho 0.679 3.615 5.353
Ho 3.502 0.364 8.525
Ho 4.967 4.343 8.525
Ho 3.539 2.428 3.469
Ho 0.716 1.551 10.408
Ho 3.502 0.364 12.292
Ho 4.931 6.407 3.469
Ho 0.679 3.615 1.586
Ho 2.108 5.530 10.408
Ho 2.144 7.594 1.586
Ho 2.144 7.594 5.353
Ho 4.967 4.343 12.292
Ir 0.622 7.279 8.216
Ir 2.201 3.300 8.216
Ir 5.025 0.678 5.661
Ir 3.445 4.657 5.661
Ir 5.025 0.678 1.278
Ir 2.201 3.300 12.600
Ir 3.445 4.657 1.278
Ir 0.622 7.279 12.600
```

Results
- energy relative to the elements, uncorrected (eV/atom) = -0.99
- energy above the most stable polymorph in this dataset (meV per atom) = 18

[4]
Here is an optimized crystal structure of Li3Ni4Sn4 from the Alexandria database. Energies are from PBE.

The structure in extended XYZ format:
```
11
Lattice="-1.246 -2.612 3.083 2.845 -5.572 -3.571 4.790 5.003 3.275" Properties=species:S:1:pos:R:3 pbc="T T T"
Sn -0.032 -2.464 0.799
Sn 1.630 -5.720 -1.287
Sn 3.920 -2.379 -0.431
Sn 2.469 -0.802 3.218
Li 1.422 -2.786 -1.786
Li 5.006 -3.406 2.037
Li 1.383 0.225 0.750
Ni 3.401 -4.776 0.228
Ni 4.032 -0.451 1.247
Ni 2.357 -2.730 1.539
Ni 2.987 1.595 2.559
```

Results
- ΔE_f (eV per formula unit) = -2.1

[5]
Here is an optimized crystal structure of Th2SnAs from the Alexandria database. Energies are from PBE.

The structure in extended XYZ format:
```
4
Lattice="4.394 0.000 0.000 2.197 3.805 0.000 2.197 1.268 7.184" Properties=species:S:1:pos:R:3 pbc="T T T"
Sn 4.394 2.537 3.592
As 0.000 0.000 0.000
Th 6.591 3.805 5.506
Th 2.197 1.268 1.679
```

Results
- ΔE_f (eV per formula unit) = -3.7
- energy above the most stable polymorph in this dataset (meV per atom) = 0

[6]
Here is an optimized crystal structure of Ca2CoOs from the Alexandria database. Energies are from PBE.

The structure in extended XYZ format:
```
8
Lattice="10.243 0.000 0.000 0.000 10.243 0.000 5.122 5.122 2.200" Properties=species:S:1:pos:R:3 pbc="T T T"
Co 5.122 5.122 0.000
Co 5.122 10.243 1.100
Ca 7.683 9.466 1.650
Ca 12.804 11.021 1.650
Ca 5.899 2.561 0.550
Ca 4.344 7.683 0.550
Os 0.000 0.000 0.000
Os 10.243 5.122 1.100
```

Results
- ΔE_f (eV per formula unit) = 2.7
- energy above the most stable polymorph in this dataset (meV per atom) = 536

[7]
Here is an optimized crystal structure of Pm4PrNd3Se8 from the Alexandria database. Energies are from PBE.

The structure in extended XYZ format:
```
16
Lattice="8.440 0.000 0.000 0.000 8.439 -0.002 -4.220 -4.213 5.968" Properties=species:S:1:pos:R:3 pbc="T T T"
Nd 2.110 2.113 2.983
Nd 4.220 4.219 -0.001
Nd -2.110 2.113 2.983
Pr 0.000 4.219 -0.001
Pm 4.220 0.000 0.000
Pm -2.110 -2.106 2.984
Pm 2.110 -2.106 2.984
Pm 0.000 0.000 0.000
Se 0.000 4.240 3.007
Se 2.101 -2.130 5.955
Se 0.000 -0.014 2.971
Se 4.220 -0.015 2.959
Se 4.220 4.240 2.995
Se -2.101 -2.130 5.955
Se 6.321 6.355 0.011
Se 2.118 6.355 0.011
```

Results
- energy relative to the elements, uncorrected (eV/atom) = -1.83

[8]
Here is an optimized crystal structure of POsRh2 from the Alexandria database. Energies are from PBE.

The structure in extended XYZ format:
```
4
Lattice="-3.662 -4.791 5.719 -4.866 -5.804 3.422 -2.374 -6.754 4.222" Properties=species:S:1:pos:R:3 pbc="T T T"
Os -5.451 -8.674 6.681
Rh -8.076 -12.852 9.899
Rh -2.826 -4.497 3.463
P 0.000 0.000 0.000
```

Results
- ΔE_f (eV per formula unit) = -0.4

no.,VASP energy (eV/atom),total magnetic moment (μB per cell),calculated volume (Å³/cell)
1,-4.74,0.00,793.8
2,-3.53,0.00,369.6
3,-6.95,0.00,623.5
4,-4.27,0.00,195.7
5,-6.79,0.00,120.1
6,-4.92,1.71,230.9
7,-5.95,0.00,425.0
8,-7.93,0.00,54.7